1.
Tc2MoAs at its PBEsol-relaxed geometry. Source: Alexandria via LeMat-Bulk, functional meta-GGA SCAN.

Cell lengths 5.0876, 5.0876, 5.0876 Å; angles 145.55, 129.57, 62.50 degrees
Element x y z (fractional)
Tc 0.0000 0.0000 0.0000
Tc 0.7350 0.2350 0.5000
Mo 0.4654 0.4654 0.0000
As 0.2294 0.7294 0.5000

Mass density in g/cm3: 10.724
Energy of formation from the pure elements in kJ per mole of atoms: -3.5
Total magnetization in Bohr magnetons per cell: 0.00



2.
Y2PPb at its PBEsol-relaxed geometry. Source: Alexandria via LeMat-Bulk, functional meta-GGA SCAN.

Cell lengths 5.0444, 5.0444, 3.7528 Å; angles 90.00, 90.00, 101.19 degrees
Element x y z (fractional)
Y 0.0000 0.5000 0.0000
Y 0.5000 0.0000 0.0000
P 0.0000 0.0000 0.5000
Pb 0.5000 0.5000 0.5000

Mass density in g/cm3: 7.374
Energy of formation from the pure elements in kJ per mole of atoms: -77.4
Total magnetization in Bohr magnetons per cell: 0.59
Energy relative to the lowest polymorph listed for this composition in meV per atom: 492



3.
LiCu at its PBEsol-relaxed geometry. Source: Alexandria via LeMat-Bulk, functional meta-GGA SCAN.

Cell lengths 8.9614, 8.9614, 8.9614 Å; angles 16.52, 16.52, 16.52 degrees
Element x y z (fractional)
Li 0.1185 0.1185 0.1185
Li 0.8815 0.8815 0.8815
Cu 0.3722 0.3722 0.3722
Cu 0.6278 0.6278 0.6278

Mass density in g/cm3: 4.611
Energy of formation from the pure elements in kJ per mole of atoms: 3.7
Total magnetization in Bohr magnetons per cell: 0.00



4.
VAsRh at its PBEsol-relaxed geometry. Source: Alexandria via LeMat-Bulk, functional meta-GGA SCAN.

Cell lengths 6.0343, 3.8577, 7.2107 Å; angles 90.00, 90.00, 90.00 degrees
Element x y z (fractional)
V 0.0315 0.2500 0.1816
V 0.4685 0.7500 0.6816
V 0.5315 0.2500 0.3184
V 0.9685 0.7500 0.8184
As 0.2399 0.2500 0.8822
As 0.2601 0.7500 0.3822
As 0.7399 0.2500 0.6178
As 0.7601 0.7500 0.1178
Rh 0.1445 0.2500 0.5634
Rh 0.3555 0.7500 0.0634
Rh 0.6445 0.2500 0.9366
Rh 0.8555 0.7500 0.4366

Mass density in g/cm3: 9.053
Energy of formation from the pure elements in kJ per mole of atoms: -60.6
Total magnetization in Bohr magnetons per cell: 4.43



The lowest mass density belongs to which entry? LiCu